No. 1
Material: Pm5Ni2Au2
Method: DFT, PBE
State: optimized geometry

abc: 7.748 7.372 8.744
angles: 114.93 90.00 90.00
Atoms (fractional coordinates):
1 Pm 0.000 0.000 0.000
2 Pm 0.500 0.500 0.000
3 Pm 0.824 0.800 0.261
4 Pm 0.176 0.460 0.261
5 Pm 0.324 0.960 0.261
6 Pm 0.676 0.300 0.261
7 Pm 0.176 0.200 0.739
8 Pm 0.824 0.540 0.739
9 Pm 0.676 0.040 0.739
10 Pm 0.324 0.700 0.739
11 Ni 0.617 0.883 0.000
12 Ni 0.383 0.117 0.000
13 Ni 0.117 0.617 0.000
14 Ni 0.883 0.383 0.000
15 Au 0.000 0.211 0.421
16 Au 0.500 0.711 0.421
17 Au 0.000 0.789 0.579
18 Au 0.500 0.289 0.579

Summary:
The value obtained for the calculated volume is 25.16 Å³ per atom. Its energy relative to the elements is -0.475 eV/atom.



No. 2
Material: Tm4Tl3In
Method: DFT, PBE
State: optimized geometry

abc: 4.569 4.265 11.365
angles: 90.00 90.00 90.00
Atoms (fractional coordinates):
1 Tm 0.500 0.500 0.366
2 Tm 0.000 0.500 0.869
3 Tm 0.000 0.000 0.134
4 Tm 0.500 0.000 0.633
5 Tl 0.000 0.500 0.597
6 Tl 0.000 0.000 0.405
7 Tl 0.500 0.000 0.906
8 In 0.500 0.500 0.091

Summary:
The value obtained for the calculated volume is 27.68 Å³ per atom. Its energy relative to the elements is -0.293 eV/atom.



No. 3
Material: AcSnB2O6
Method: DFT, PBE
State: optimized geometry

abc: 6.642 6.642 6.524
angles: 101.88 101.88 96.53
Atoms (fractional coordinates):
1 Ac 0.634 0.366 0.250
2 Ac 0.366 0.634 0.750
3 Sn 0.088 0.912 0.250
4 Sn 0.912 0.088 0.750
5 B 0.408 0.111 0.743
6 B 0.889 0.592 0.757
7 B 0.592 0.889 0.257
8 B 0.111 0.408 0.243
9 O 0.994 0.568 0.253
10 O 0.432 0.006 0.247
11 O 0.006 0.432 0.747
12 O 0.568 0.994 0.753
13 O 0.007 0.205 0.121
14 O 0.795 0.993 0.379
15 O 0.993 0.795 0.879
16 O 0.205 0.007 0.621
17 O 0.308 0.434 0.364
18 O 0.566 0.692 0.136
19 O 0.692 0.566 0.636
20 O 0.434 0.308 0.864

Summary:
The value obtained for the calculated volume is 13.60 Å³ per atom. The energy relative to the elements, uncorrected comes out at -24.1 eV per formula unit.



No. 4
Material: Tl2FeIr
Method: DFT, PBE
State: optimized geometry

abc: 8.959 8.959 8.959
angles: 20.21 20.21 20.21
Atoms (fractional coordinates):
1 Fe 0.250 0.250 0.250
2 Ir 0.750 0.750 0.750
3 Tl 0.999 0.999 0.999
4 Tl 0.501 0.501 0.501

Summary:
The value obtained for the calculated volume is 18.77 Å³ per atom. Its energy relative to the elements is 0.670 eV/atom.



No. 5
Material: Sr2Al3Zn2
Method: DFT, PBE
State: optimized geometry

abc: 4.550 6.097 7.067
angles: 113.36 90.00 111.91
Atoms (fractional coordinates):
1 Sr 0.844 0.689 0.222
2 Sr 0.156 0.311 0.778
3 Al 0.500 0.000 0.000
4 Al 0.590 0.181 0.417
5 Al 0.410 0.819 0.583
6 Zn 0.853 0.707 0.726
7 Zn 0.147 0.293 0.274

Summary:
The value obtained for the calculated volume is 23.49 Å³ per atom. Its energy relative to the elements is -0.195 eV/atom.



No. 6
Material: HoMg15In4
Method: DFT, PBE
State: optimized geometry

abc: 4.654 4.654 21.469
angles: 90.00 90.00 90.00
Atoms (fractional coordinates):
1 Ho 0.000 0.000 0.000
2 Mg 0.500 0.500 0.000
3 Mg 0.500 0.500 0.206
4 Mg 0.500 0.500 0.401
5 Mg 0.500 0.500 0.599
6 Mg 0.500 0.500 0.794
7 Mg 0.500 0.000 0.106
8 Mg 0.500 0.000 0.302
9 Mg 0.500 0.000 0.500
10 Mg 0.500 0.000 0.698
11 Mg 0.500 0.000 0.894
12 Mg 0.000 0.500 0.106
13 Mg 0.000 0.500 0.302
14 Mg 0.000 0.500 0.500
15 Mg 0.000 0.500 0.698
16 Mg 0.000 0.500 0.894
17 In 0.000 0.000 0.202
18 In 0.000 0.000 0.402
19 In 0.000 0.000 0.598
20 In 0.000 0.000 0.798

Summary:
The value obtained for the calculated volume is 23.25 Å³ per atom. Its energy relative to the elements is -0.065 eV/atom.



No. 7
Material: Cs3SrLa2S6
Method: DFT, PBE
State: optimized geometry

abc: 7.606 7.606 8.444
angles: 98.63 98.63 119.99
Atoms (fractional coordinates):
1 Cs 0.163 0.837 0.500
2 Cs 0.837 0.163 0.500
3 Cs 0.500 0.500 0.500
4 Sr 0.000 0.000 0.000
5 La 0.333 0.667 0.000
6 La 0.667 0.333 0.000
7 S 0.937 0.591 0.810
8 S 0.717 0.717 0.188
9 S 0.063 0.409 0.190
10 S 0.591 0.937 0.810
11 S 0.283 0.283 0.812
12 S 0.409 0.063 0.190

Summary:
The value obtained for the calculated volume is 33.63 Å³ per atom. The energy relative to the elements, uncorrected comes out at -20.2 eV per formula unit.



No. 8
Material: ZrInRe
Method: DFT, PBE
State: optimized geometry

abc: 4.760 4.760 2.914
angles: 90.00 90.00 120.00
Atoms (fractional coordinates):
1 In 0.000 0.000 0.047
2 Re 0.667 0.333 0.335
3 Zr 0.333 0.667 0.618

Summary:
The value obtained for the calculated volume is 19.06 Å³ per atom. Its energy relative to the elements is 0.085 eV/atom.



No. 9
Material: CrInCl2
Method: DFT, PBE
State: optimized geometry

abc: 4.114 7.216 6.002
angles: 37.45 90.00 90.00
Atoms (fractional coordinates):
1 Cr 0.500 0.500 0.500
2 Cl 0.000 0.000 0.000
3 Cl 0.500 0.500 0.000
4 In 0.000 0.000 0.500

Summary:
The value obtained for the calculated volume is 27.08 Å³ per atom. The energy relative to the elements, uncorrected comes out at -1.0 eV per formula unit.



No. 10
Material: RhCl3
Method: DFT, PBE
State: optimized geometry

abc: 3.500 6.635 6.633
angles: 42.39 90.00 90.00
Atoms (fractional coordinates):
1 Rh 0.500 0.250 0.250
2 Cl 0.000 0.121 0.121
3 Cl 0.500 0.750 0.750
4 Cl 0.000 0.379 0.379

Summary:
The value obtained for the calculated volume is 25.96 Å³ per atom. The energy relative to the elements, uncorrected comes out at -1.8 eV per formula unit.



No. 11
Material: LaCd2Br
Method: DFT, PBE
State: optimized geometry

abc: 3.603 3.603 9.711
angles: 90.00 90.00 111.49
Atoms (fractional coordinates):
1 Cd 0.000 0.000 0.978
2 Cd 0.000 0.000 0.522
3 Br 0.500 0.500 0.750
4 La 0.500 0.500 0.250

Summary:
The value obtained for the calculated volume is 29.33 Å³ per atom. The energy relative to the elements, uncorrected comes out at -1.3 eV per formula unit.



No. 12
Material: HgPdBr
Method: DFT, PBE
State: optimized geometry

abc: 5.251 5.551 6.157
angles: 109.68 112.00 90.43
Atoms (fractional coordinates):
1 Br 0.378 0.098 0.235
2 Br 0.622 0.902 0.765
3 Hg 0.066 0.427 0.758
4 Hg 0.934 0.573 0.242
5 Pd 0.108 0.920 0.734
6 Pd 0.892 0.080 0.266

Summary:
The value obtained for the calculated volume is 25.80 Å³ per atom. The energy relative to the elements, uncorrected comes out at -0.3 eV per formula unit.



No. 13
Material: Tm2Zr3Sc3
Method: DFT, PBE
State: optimized geometry

abc: 3.367 8.410 8.410
angles: 122.87 90.00 90.00
Atoms (fractional coordinates):
1 Tm 0.000 0.658 0.339
2 Tm 0.000 0.339 0.658
3 Zr 0.000 0.017 0.765
4 Zr 0.000 0.765 0.017
5 Zr 0.000 0.216 0.216
6 Sc 0.500 0.991 0.388
7 Sc 0.500 0.388 0.991
8 Sc 0.500 0.626 0.626

Summary:
The value obtained for the calculated volume is 25.00 Å³ per atom. Its energy relative to the elements is 0.190 eV/atom.



No. 14
Material: Ba2CdBiRh
Method: DFT, PBE
State: optimized geometry

abc: 6.102 6.102 5.200
angles: 90.00 90.00 90.00
Atoms (fractional coordinates):
1 Cd 0.500 0.500 0.500
2 Rh 0.000 0.000 0.000
3 Bi 0.000 0.000 0.500
4 Ba 0.000 0.500 0.000
5 Ba 0.500 0.000 0.000

Summary:
The value obtained for the calculated volume is 38.73 Å³ per atom. Its energy relative to the elements is -0.356 eV/atom.



No. 15
Material: ZnPCl
Method: DFT, PBE
State: optimized geometry

abc: 5.814 5.814 5.814
angles: 144.10 144.12 51.67
Atoms (fractional coordinates):
1 Cl 0.023 0.023 0.000
2 P 0.229 0.229 0.000
3 Zn 0.749 0.749 0.000

Summary:
The value obtained for the calculated volume is 22.39 Å³ per atom. The energy relative to the elements, uncorrected comes out at -0.2 eV per formula unit.



No. 16
Material: LaPr4Dy2Er
Method: DFT, PBE
State: optimized geometry

abc: 3.671 12.049 6.306
angles: 79.84 90.00 90.00
Atoms (fractional coordinates):
1 La 0.500 0.500 0.000
2 Pr 0.000 0.754 0.747
3 Pr 0.000 0.246 0.253
4 Pr 0.500 0.751 0.249
5 Pr 0.500 0.249 0.751
6 Dy 0.000 0.000 0.000
7 Dy 0.500 0.000 0.500
8 Er 0.000 0.500 0.500

Summary:
The value obtained for the calculated volume is 34.32 Å³ per atom. Its energy relative to the elements is 0.017 eV/atom.



No. 17
Material: V2NiP4
Method: DFT, PBE
State: optimized geometry

abc: 4.416 4.416 6.621
angles: 70.52 70.52 90.00
Atoms (fractional coordinates):
1 Ni 0.000 0.000 0.000
2 P 0.196 0.196 0.608
3 P 0.804 0.804 0.392
4 P 0.000 0.500 0.000
5 P 0.500 0.000 0.000
6 V 0.393 0.393 0.214
7 V 0.607 0.607 0.786

Summary:
The value obtained for the calculated volume is 16.26 Å³ per atom. Its energy relative to the elements is 0.279 eV/atom.



No. 18
Material: NdLuZnAg
Method: DFT, PBE
State: optimized geometry

abc: 5.138 5.138 5.138
angles: 60.00 60.00 60.00
Atoms (fractional coordinates):
1 Zn 0.750 0.750 0.750
2 Lu 0.500 0.500 0.500
3 Nd 0.000 0.000 0.000
4 Ag 0.250 0.250 0.250

Summary:
The value obtained for the calculated volume is 23.98 Å³ per atom. Its energy relative to the elements is -0.295 eV/atom.



No. 19
Material: Mo2IrOsN
Method: DFT, PBE
State: optimized geometry

abc: 4.728 4.689 4.728
angles: 90.00 90.00 90.00
Atoms (fractional coordinates):
1 Mo 0.000 0.000 0.500
2 Mo 0.500 0.000 0.000
3 Ir 0.000 0.000 0.000
4 Os 0.000 0.500 0.000
5 N 0.500 0.500 0.500

Summary:
The value obtained for the calculated volume is 20.97 Å³ per atom. The energy relative to the elements, uncorrected comes out at 14.8 eV per formula unit.



No. 20
Material: AlCr2Re
Method: DFT, PBE
State: optimized geometry

abc: 4.178 2.597 4.952
angles: 78.63 90.00 90.00
Atoms (fractional coordinates):
1 Re 0.500 0.250 0.250
2 Al 0.500 0.750 0.750
3 Cr 0.000 0.045 0.987
4 Cr 0.000 0.455 0.513

Summary:
The value obtained for the calculated volume is 13.17 Å³ per atom. Its energy relative to the elements is -0.035 eV/atom.